No. 1
The following is a PBE calculation of crystalline Pm4Cd3Os at its relaxed geometry, from Alexandria via LeMat-Bulk.

ΔE_f = -235 meV per atom
density of states at the Fermi level = 7.09 states/eV per cell
mass density = 8705 kg/m³

a = 3.572 Å, b = 3.572 Å, c = 16.555 Å
α = 90.00°, β = 90.00°, γ = 90.00°
Fractional coordinates of all 8 atoms:
Os (0.500, 0.500, 0.000)
Pm (0.000, 0.000, 0.631)
Cd (0.500, 0.500, 0.758)
Cd (0.500, 0.500, 0.500)
Pm (0.000, 0.000, 0.369)
Cd (0.500, 0.500, 0.242)
Pm (0.000, 0.000, 0.102)
Pm (0.000, 0.000, 0.898)


No. 2
The following is a PBE calculation of crystalline Er6GaS4 at its relaxed geometry, from Alexandria via LeMat-Bulk.

density of states at the Fermi level = 13.17 states/eV per cell
formation energy (no corrections) = -1.5646 eV per atom
mass density = 8179 kg/m³

a = 3.862 Å, b = 6.694 Å, c = 19.710 Å
α = 90.00°, β = 90.00°, γ = 106.77°
Fractional coordinates of all 22 atoms:
S (0.410, 0.819, 0.123)
Ga (0.335, 0.670, 0.750)
S (0.590, 0.181, 0.877)
S (0.138, 0.276, 0.040)
S (0.138, 0.276, 0.460)
Er (0.228, 0.456, 0.585)
Er (0.772, 0.544, 0.085)
S (0.862, 0.724, 0.540)
Er (0.500, 0.000, 0.500)
Er (0.335, 0.670, 0.250)
Er (0.500, 0.000, 0.000)
S (0.862, 0.724, 0.960)
Er (0.954, 0.907, 0.836)
Er (0.046, 0.093, 0.336)
Er (0.772, 0.544, 0.415)
Er (0.046, 0.093, 0.164)
Ga (0.665, 0.330, 0.250)
Er (0.665, 0.330, 0.750)
S (0.590, 0.181, 0.623)
Er (0.954, 0.907, 0.664)
S (0.410, 0.819, 0.377)
Er (0.228, 0.456, 0.915)


No. 3
The following is a PBE calculation of crystalline Mg2MnPd8 at its relaxed geometry, from Alexandria via LeMat-Bulk.

ΔE_f = -398 meV per atom
density of states at the Fermi level = 6.51 states/eV per cell
mass density = 9279 kg/m³

a = 4.044 Å, b = 6.267 Å, c = 7.318 Å
α = 105.85°, β = 106.04°, γ = 90.00°
Fractional coordinates of all 11 atoms:
Pd (0.860, 0.814, 0.720)
Pd (0.958, 0.272, 0.917)
Pd (0.042, 0.728, 0.083)
Pd (0.405, 0.546, 0.811)
Mn (0.500, 0.000, 0.000)
Mg (0.777, 0.348, 0.554)
Mg (0.223, 0.652, 0.446)
Pd (0.678, 0.911, 0.356)
Pd (0.140, 0.186, 0.280)
Pd (0.322, 0.089, 0.644)
Pd (0.595, 0.454, 0.189)


No. 4
The following is a PBE calculation of crystalline Ac2ErTm at its relaxed geometry, from Alexandria via LeMat-Bulk.

ΔE_f = 273 meV per atom
ΔE to the lowest computed polymorph = 214.9 meV/atom
density of states at the Fermi level = 7.57 states/eV per cell
mass density = 8619 kg/m³

a = 3.679 Å, b = 3.679 Å, c = 13.160 Å
α = 81.96°, β = 81.96°, γ = 60.00°
Fractional coordinates of all 4 atoms:
Er (0.500, 0.500, 0.500)
Ac (0.911, 0.911, 0.266)
Ac (0.089, 0.089, 0.734)
Tm (0.000, 0.000, 0.000)


No. 5
The following is a PBE calculation of crystalline BaPbF4 at its relaxed geometry, from Alexandria via LeMat-Bulk.

density of states at the Fermi level = 0.00 states/eV per cell
formation energy (no corrections) = -3.1344 eV per atom
mass density = 6051 kg/m³

a = 4.339 Å, b = 4.339 Å, c = 6.130 Å
α = 90.00°, β = 90.00°, γ = 90.00°
Fractional coordinates of all 6 atoms:
F (0.000, 0.000, 0.240)
F (0.500, 0.500, 0.760)
F (0.000, 0.000, 0.760)
Ba (0.500, 0.000, 0.500)
F (0.500, 0.500, 0.240)
Pb (0.000, 0.500, 0.000)


No. 6
The following is a PBE calculation of crystalline Ba2Ca12Hg7 at its relaxed geometry, from Alexandria via LeMat-Bulk.

ΔE_f = -374 meV per atom
density of states at the Fermi level = 25.06 states/eV per cell
mass density = 4955 kg/m³

a = 4.816 Å, b = 13.173 Å, c = 13.173 Å
α = 120.00°, β = 90.00°, γ = 90.00°
Fractional coordinates of all 21 atoms:
Ca (0.000, 0.964, 0.233)
Hg (0.500, 0.456, 0.079)
Ca (0.000, 0.056, 0.546)
Hg (0.000, 0.040, 0.785)
Ca (0.000, 0.270, 0.036)
Ca (0.000, 0.767, 0.730)
Ba (0.500, 0.000, 0.000)
Hg (0.500, 0.921, 0.377)
Hg (0.500, 0.623, 0.544)
Hg (0.000, 0.215, 0.255)
Ca (0.500, 0.890, 0.610)
Ca (0.500, 0.556, 0.765)
Ca (0.500, 0.720, 0.110)
Ca (0.000, 0.490, 0.944)
Ba (0.000, 0.667, 0.333)
Ca (0.500, 0.235, 0.791)
Ca (0.500, 0.390, 0.280)
Ca (0.000, 0.454, 0.510)
Hg (0.000, 0.333, 0.667)
Hg (0.000, 0.745, 0.960)
Ca (0.500, 0.209, 0.444)


No. 7
The following is a PBE calculation of crystalline YTh2SbN5 at its relaxed geometry, from Alexandria via LeMat-Bulk.

density of states at the Fermi level = 0.94 states/eV per cell
formation energy (no corrections) = -0.9729 eV per atom
mass density = 8178 kg/m³

a = 3.680 Å, b = 7.354 Å, c = 11.543 Å
α = 90.00°, β = 90.00°, γ = 104.49°
Fractional coordinates of all 18 atoms:
Th (0.134, 0.267, 0.241)
N (0.283, 0.566, 0.636)
Y (0.767, 0.534, 0.485)
Sb (0.495, 0.990, 0.485)
N (0.459, 0.918, 0.816)
N (0.937, 0.874, 0.537)
N (0.717, 0.434, 0.136)
Th (0.862, 0.724, 0.209)
Y (0.233, 0.466, 0.985)
N (0.063, 0.126, 0.037)
Sb (0.505, 0.010, 0.985)
N (0.379, 0.759, 0.077)
N (0.621, 0.241, 0.577)
Th (0.866, 0.733, 0.741)
Th (0.138, 0.276, 0.709)
N (0.541, 0.082, 0.316)
N (0.282, 0.563, 0.338)
N (0.718, 0.437, 0.838)


No. 8
The following is a PBE calculation of crystalline GaAg14Ge at its relaxed geometry, from Alexandria via LeMat-Bulk.

ΔE_f = 42 meV per atom
density of states at the Fermi level = 4.88 states/eV per cell
mass density = 9607 kg/m³

a = 5.915 Å, b = 5.915 Å, c = 9.469 Å
α = 90.00°, β = 90.00°, γ = 120.45°
Fractional coordinates of all 16 atoms:
Ag (0.541, 0.960, 0.500)
Ag (0.040, 0.459, 0.500)
Ag (0.874, 0.624, 0.252)
Ag (0.876, 0.124, 0.751)
Ag (0.376, 0.624, 0.749)
Ag (0.376, 0.624, 0.251)
Ag (0.874, 0.624, 0.748)
Ga (0.539, 0.461, 0.500)
Ag (0.710, 0.790, 0.000)
Ag (0.210, 0.290, 0.000)
Ag (0.709, 0.291, 0.000)
Ag (0.876, 0.124, 0.249)
Ag (0.209, 0.791, 0.000)
Ag (0.376, 0.126, 0.252)
Ge (0.038, 0.962, 0.500)
Ag (0.376, 0.126, 0.748)